# 1
A plane-wave DFT calculation with GGA-PBE was carried out for a relaxed Er2GaF8 crystal.

Structure (extended XYZ):
```
11
Lattice="-1.745 4.003 2.655 -4.855 -1.900 -2.670 -1.998 -4.515 3.151" Properties=species:S:1:pos:R:3 pbc="T T T"
F -5.855 -2.235 -0.690
F -4.113 -3.829 2.859
F -5.173 -0.584 2.277
F -4.484 1.417 0.278
F -6.189 -4.566 0.986
F -3.425 -1.828 0.860
F -2.409 2.154 2.150
F -2.742 -0.177 3.827
Er -3.208 0.229 1.678
Er -5.390 -2.641 1.459
Ga 0.000 0.000 0.000
```

Properties
uncorrected formation energy	-3.50	eV per atom
energy	-65.6	eV for the cell shown

---

# 2
A plane-wave DFT calculation with GGA-PBE was carried out for a relaxed ErGa2F6 crystal.

Structure (extended XYZ):
```
9
Lattice="-1.032 -0.899 3.642 0.416 -4.627 -3.102 6.446 0.843 2.034" Properties=species:S:1:pos:R:3 pbc="T T T"
F 4.283 -1.547 0.832
F 3.831 -0.505 3.039
F 2.000 -4.178 -0.464
F 1.547 -3.136 1.743
F 4.253 -3.856 2.332
F 1.577 -0.827 0.243
Ga 4.989 -2.204 2.948
Ga 0.841 -2.478 -0.373
Er 3.223 0.422 1.017
```

Properties
uncorrected formation energy	-2.88	eV per atom
energy	-47.8	eV for the cell shown

---

# 3
A plane-wave DFT calculation with GGA-PBE was carried out for a relaxed Gd2ErF crystal.

Structure (extended XYZ):
```
4
Lattice="-1.580 -0.496 -3.318 -1.535 -3.266 -0.853 -8.511 1.434 1.767" Properties=species:S:1:pos:R:3 pbc="T T T"
Gd -2.318 -0.794 -0.850
Gd -9.309 -1.534 -1.554
Er -5.813 -1.164 -1.202
F 0.000 0.000 0.000
```

Properties
uncorrected formation energy	-1.13	eV per atom
energy	-39.1	eV for the cell shown

---

# 4
A plane-wave DFT calculation with GGA-PBE was carried out for a relaxed GdEr3F crystal.

Structure (extended XYZ):
```
5
Lattice="5.005 0.000 0.000 0.000 5.005 0.000 0.000 0.000 5.005" Properties=species:S:1:pos:R:3 pbc="T T T"
Er 0.000 0.000 2.503
Er 0.000 2.503 0.000
Er 2.503 0.000 0.000
F 0.000 0.000 0.000
Gd 2.503 2.503 2.503
```

Properties
uncorrected formation energy	-0.90	eV per atom
energy	-34.1	eV for the cell shown

---

# 5
A plane-wave DFT calculation with GGA-PBE was carried out for a relaxed Gd3ErF crystal.

Structure (extended XYZ):
```
5
Lattice="-4.983 -0.582 0.799 0.977 -3.534 3.517 0.153 3.603 3.578" Properties=species:S:1:pos:R:3 pbc="T T T"
Er -1.927 -0.256 3.947
Gd -2.492 -0.291 0.400
Gd 0.077 1.802 1.789
Gd 0.488 -1.767 1.758
F 0.000 0.000 0.000
```

Properties
uncorrected formation energy	-0.92	eV per atom
energy	-53.3	eV for the cell shown

---

# 6
A plane-wave DFT calculation with GGA-PBE was carried out for a relaxed ErGe2F8 crystal.

Structure (extended XYZ):
```
11
Lattice="-1.051 -0.466 5.772 -1.797 -5.521 -0.422 3.304 -4.760 0.569" Properties=species:S:1:pos:R:3 pbc="T T T"
Ge -0.026 -2.631 2.155
Ge 0.481 -8.116 3.764
F 0.058 -6.673 4.834
F -0.617 -6.918 0.962
F 0.398 -4.074 1.085
F 1.072 -3.829 4.957
F -1.689 -4.241 4.421
F -0.555 -1.369 3.910
F 2.144 -6.506 1.498
F 1.010 -9.378 2.009
Er 0.000 0.000 0.000
```

Properties
uncorrected formation energy	-2.65	eV per atom
energy	-58.0	eV for the cell shown